Entry from Alexandria via LeMat-Bulk: a relaxed CsTa2Pd2 crystal (PBE-GGA).

Values from the calculation:
- ΔE_f: 0.482 eV per atom
- Energy above the most stable polymorph in this dataset: 0.00 eV/f.u.

Unit cell a=8.5115 b=8.5115 c=2.9324 alpha=90.00 beta=90.00 gamma=90.00
Space group P4/mbm (No. 127)
Inequivalent atoms, fractional coordinates:
Cs: 0.0000 0.0000 0.0000 x2
Ta: 0.1121 0.3879 0.0000 x4
Pd: 0.1690 0.6690 0.5000 x4